Record 1
La8HBr4N3: optimized geometry, GGA-PBE.

Calculated values
- Total magnetization: 0.001 Bohr magnetons per cell
- VASP energy: -95.2 eV/cell
- Fermi-level density of states: 9.92 states/eV/cell

Cell and atoms, written as CIF:
```
data_La8HBr4N3
_cell_length_a 7.621
_cell_length_b 8.755
_cell_length_c 7.611
_cell_angle_alpha 115.73
_cell_angle_beta 120.05
_cell_angle_gamma 90.00
_symmetry_space_group_name_H-M 'P 1'
_symmetry_Int_Tables_number 1
_symmetry_space_group_name_Hall 'P 1'
loop_
_atom_site_label
_atom_site_fract_x
_atom_site_fract_y
_atom_site_fract_z
La1 0.709 0.684 0.946
La2 0.763 0.316 0.054
La3 0.272 0.316 0.544
La4 0.237 0.683 0.475
La5 0.728 0.684 0.456
La6 0.291 0.316 0.054
La7 0.237 0.684 0.946
La8 0.763 0.317 0.525
N1 0.500 0.500 0.500
N2 0.000 0.500 0.500
N3 0.500 0.500 0.000
Br1 0.500 0.000 0.500
Br2 0.000 0.000 0.000
Br3 0.000 0.000 0.500
Br4 0.500 0.000 0.000
H1 0.000 0.500 0.000
```

---

Record 2
Ho4CdNi: optimized geometry, GGA-PBE.

Calculated values
- Total magnetization: 0.002 Bohr magnetons per cell
- Energy above the lowest structure with this stoichiometry: 1.382 eV/f.u.
- VASP energy: -50.9 eV/cell
- Fermi-level density of states: 17.27 states/eV/cell
- Formation energy from the elements: -0.0752 eV per atom

Cell and atoms, written as CIF:
```
data_Ho4CdNi
_cell_length_a 6.877
_cell_length_b 7.093
_cell_length_c 7.058
_cell_angle_alpha 90.00
_cell_angle_beta 95.35
_cell_angle_gamma 90.00
_symmetry_space_group_name_H-M 'P 1'
_symmetry_Int_Tables_number 1
_symmetry_space_group_name_Hall 'P 1'
loop_
_atom_site_label
_atom_site_fract_x
_atom_site_fract_y
_atom_site_fract_z
Cd1 0.000 0.000 0.000
Cd2 0.500 0.500 0.000
Ho1 0.311 0.332 0.358
Ho2 0.106 0.356 0.819
Ho3 0.606 0.144 0.819
Ho4 0.189 0.832 0.642
Ho5 0.689 0.668 0.642
Ho6 0.894 0.644 0.181
Ho7 0.811 0.168 0.358
Ho8 0.394 0.856 0.181
Ni1 0.500 0.000 0.500
Ni2 0.000 0.500 0.500
```

---

Record 3
Tl2Hg2B: optimized geometry, GGA-PBE.

Calculated values
- Total magnetization: 0.000 Bohr magnetons per cell
- Energy above the lowest structure with this stoichiometry: 0.000 eV/f.u.
- VASP energy: -17.2 eV/cell
- Fermi-level density of states: 4.25 states/eV/cell
- Formation energy from the elements: 0.6802 eV per atom

Cell and atoms, written as CIF:
```
data_Tl2Hg2B
_cell_length_a 6.634
_cell_length_b 6.634
_cell_length_c 6.069
_cell_angle_alpha 90.00
_cell_angle_beta 90.00
_cell_angle_gamma 90.00
_symmetry_space_group_name_H-M 'P 1'
_symmetry_Int_Tables_number 1
_symmetry_space_group_name_Hall 'P 1'
loop_
_atom_site_label
_atom_site_fract_x
_atom_site_fract_y
_atom_site_fract_z
Tl1 0.825 0.675 0.000
Tl2 0.675 0.175 0.000
Tl3 0.175 0.325 0.000
Tl4 0.325 0.825 0.000
B1 0.000 0.000 0.000
B2 0.500 0.500 0.000
Hg1 0.676 0.824 0.500
Hg2 0.176 0.676 0.500
Hg3 0.324 0.176 0.500
Hg4 0.824 0.324 0.500
```

---

Record 4
K2NdZn3F12: optimized geometry, GGA-PBE.

Calculated values
- Total magnetization: 0.977 Bohr magnetons per cell
- VASP energy: -81.5 eV/cell
- Fermi-level density of states: 10.98 states/eV/cell
- Formation energy without anion corrections: -2.68 eV per atom

Cell and atoms, written as CIF:
```
data_K2NdZn3F12
_cell_length_a 7.026
_cell_length_b 7.026
_cell_length_c 7.026
_cell_angle_alpha 65.60
_cell_angle_beta 65.60
_cell_angle_gamma 65.60
_symmetry_space_group_name_H-M 'P 1'
_symmetry_Int_Tables_number 1
_symmetry_space_group_name_Hall 'P 1'
loop_
_atom_site_label
_atom_site_fract_x
_atom_site_fract_y
_atom_site_fract_z
Zn1 0.000 0.000 0.500
Zn2 0.000 0.500 0.000
Zn3 0.500 0.000 0.000
F1 0.870 0.870 0.397
F2 0.734 0.734 0.106
F3 0.130 0.603 0.130
F4 0.266 0.266 0.894
F5 0.870 0.397 0.870
F6 0.894 0.266 0.266
F7 0.106 0.734 0.734
F8 0.603 0.130 0.130
F9 0.266 0.894 0.266
F10 0.130 0.130 0.603
F11 0.734 0.106 0.734
F12 0.397 0.870 0.870
K1 0.615 0.615 0.615
K2 0.385 0.385 0.385
Nd1 0.000 0.000 0.000
```

---

Record 5
HfMnNbIr: optimized geometry, GGA-PBE.

Calculated values
- Total magnetization: 0.562 Bohr magnetons per cell
- VASP energy: -39.6 eV/cell
- Fermi-level density of states: 3.68 states/eV/cell
- Formation energy from the elements: -0.3855 eV per atom

Cell and atoms, written as CIF:
```
data_HfMnNbIr
_cell_length_a 4.506
_cell_length_b 4.506
_cell_length_c 4.506
_cell_angle_alpha 60.00
_cell_angle_beta 60.00
_cell_angle_gamma 60.00
_symmetry_space_group_name_H-M 'P 1'
_symmetry_Int_Tables_number 1
_symmetry_space_group_name_Hall 'P 1'
loop_
_atom_site_label
_atom_site_fract_x
_atom_site_fract_y
_atom_site_fract_z
Hf1 0.750 0.750 0.750
Mn1 0.500 0.500 0.500
Nb1 0.250 0.250 0.250
Ir1 0.000 0.000 0.000
```

---

Record 6
CuSiHgF2: optimized geometry, GGA-PBE.

Calculated values
- Total magnetization: 0.000 Bohr magnetons per cell
- VASP energy: -13.7 eV/cell
- Fermi-level density of states: 1.66 states/eV/cell
- Formation energy without anion corrections: -0.03 eV per atom

Cell and atoms, written as CIF:
```
data_CuSiHgF2
_cell_length_a 4.325
_cell_length_b 5.409
_cell_length_c 4.325
_cell_angle_alpha 90.00
_cell_angle_beta 90.00
_cell_angle_gamma 90.00
_symmetry_space_group_name_H-M 'P 1'
_symmetry_Int_Tables_number 1
_symmetry_space_group_name_Hall 'P 1'
loop_
_atom_site_label
_atom_site_fract_x
_atom_site_fract_y
_atom_site_fract_z
Hg1 0.000 0.000 0.000
F1 0.500 0.000 0.000
F2 0.000 0.000 0.500
Cu1 0.000 0.500 0.000
Si1 0.500 0.500 0.500
```

---

Record 7
PrSc2Ni9: optimized geometry, GGA-PBE.

Calculated values
- Total magnetization: 0.001 Bohr magnetons per cell
- VASP energy: -74.4 eV/cell
- Fermi-level density of states: 15.40 states/eV/cell
- Formation energy from the elements: -0.4099 eV per atom

Cell and atoms, written as CIF:
```
data_PrSc2Ni9
_cell_length_a 4.925
_cell_length_b 4.925
_cell_length_c 8.446
_cell_angle_alpha 73.05
_cell_angle_beta 73.05
_cell_angle_gamma 60.00
_symmetry_space_group_name_H-M 'P 1'
_symmetry_Int_Tables_number 1
_symmetry_space_group_name_Hall 'P 1'
loop_
_atom_site_label
_atom_site_fract_x
_atom_site_fract_y
_atom_site_fract_z
Pr1 0.000 0.000 0.000
Ni1 0.413 0.413 0.257
Ni2 0.667 0.667 0.999
Ni3 0.413 0.917 0.257
Ni4 0.587 0.083 0.743
Ni5 0.587 0.587 0.743
Ni6 0.333 0.333 0.001
Ni7 0.917 0.413 0.257
Ni8 0.500 0.500 0.500
Ni9 0.083 0.587 0.743
Sc1 0.858 0.858 0.427
Sc2 0.142 0.142 0.573
```

---

Record 8
KZrSb2: optimized geometry, GGA-PBE.

Calculated values
- Total magnetization: 0.000 Bohr magnetons per cell
- Energy above the lowest structure with this stoichiometry: 1.457 eV/f.u.
- VASP energy: -18.4 eV/cell
- Fermi-level density of states: 2.13 states/eV/cell
- Formation energy without anion corrections: -0.13 eV per atom

Cell and atoms, written as CIF:
```
data_KZrSb2
_cell_length_a 8.364
_cell_length_b 5.823
_cell_length_c 3.203
_cell_angle_alpha 84.17
_cell_angle_beta 76.02
_cell_angle_gamma 130.67
_symmetry_space_group_name_H-M 'P 1'
_symmetry_Int_Tables_number 1
_symmetry_space_group_name_Hall 'P 1'
loop_
_atom_site_label
_atom_site_fract_x
_atom_site_fract_y
_atom_site_fract_z
Sb1 0.500 0.000 0.500
Sb2 0.000 0.000 0.000
K1 0.500 0.500 0.000
Zr1 0.000 0.500 0.500
```

---

Record 9
SmY3Er2Se6: optimized geometry, GGA-PBE.

Calculated values
- Total magnetization: 0.000 Bohr magnetons per cell
- VASP energy: -75.1 eV/cell
- Fermi-level density of states: 5.86 states/eV/cell
- Formation energy without anion corrections: -1.75 eV per atom

Cell and atoms, written as CIF:
```
data_SmY3Er2Se6
_cell_length_a 4.071
_cell_length_b 8.206
_cell_length_c 9.120
_cell_angle_alpha 102.85
_cell_angle_beta 102.90
_cell_angle_gamma 90.00
_symmetry_space_group_name_H-M 'P 1'
_symmetry_Int_Tables_number 1
_symmetry_space_group_name_Hall 'P 1'
loop_
_atom_site_label
_atom_site_fract_x
_atom_site_fract_y
_atom_site_fract_z
Se1 0.330 0.911 0.659
Se2 0.998 0.743 0.996
Se3 0.669 0.581 0.337
Se4 0.331 0.419 0.663
Se5 0.670 0.089 0.341
Se6 0.002 0.257 0.004
Sm1 0.500 0.000 0.000
Er1 0.165 0.330 0.330
Er2 0.835 0.670 0.670
Y1 0.163 0.834 0.326
Y2 0.837 0.166 0.674
Y3 0.500 0.500 0.000
```

---

Record 10
Tb4Ga6Ir7: optimized geometry, GGA-PBE.

Calculated values
- Total magnetization: 0.000 Bohr magnetons per cell
- VASP energy: -111.6 eV/cell
- Fermi-level density of states: 7.76 states/eV/cell
- Formation energy from the elements: -0.7568 eV per atom

Cell and atoms, written as CIF:
```
data_Tb4Ga6Ir7
_cell_length_a 7.306
_cell_length_b 7.306
_cell_length_c 7.306
_cell_angle_alpha 109.47
_cell_angle_beta 109.47
_cell_angle_gamma 109.47
_symmetry_space_group_name_H-M 'P 1'
_symmetry_Int_Tables_number 1
_symmetry_space_group_name_Hall 'P 1'
loop_
_atom_site_label
_atom_site_fract_x
_atom_site_fract_y
_atom_site_fract_z
Ga1 0.000 0.314 0.314
Ga2 0.686 0.686 0.000
Ga3 0.314 0.000 0.314
Ga4 0.314 0.314 0.000
Ga5 0.000 0.686 0.686
Ga6 0.686 0.000 0.686
Tb1 0.500 0.000 0.000
Tb2 0.500 0.500 0.500
Tb3 0.000 0.500 0.000
Tb4 0.000 0.000 0.500
Ir1 0.250 0.500 0.750
Ir2 0.750 0.500 0.250
Ir3 0.750 0.250 0.500
Ir4 0.000 0.000 0.000
Ir5 0.500 0.250 0.750
Ir6 0.500 0.750 0.250
Ir7 0.250 0.750 0.500
```

---

Which of these has the highest total magnetization? K2NdZn3F12

---

Which value of Fermi-level density of states does entry 3 give? 4.25 states/eV/cell

---

Which of these has the highest total magnetization? K2NdZn3F12

---

What did the ninth record say?
SmY3Er2Se6: optimized geometry, GGA-PBE.

Calculated values
- Total magnetization: 0.000 Bohr magnetons per cell
- VASP energy: -75.1 eV/cell
- Fermi-level density of states: 5.86 states/eV/cell
- Formation energy without anion corrections: -1.75 eV per atom

Cell and atoms, written as CIF:
```
data_SmY3Er2Se6
_cell_length_a 4.071
_cell_length_b 8.206
_cell_length_c 9.120
_cell_angle_alpha 102.85
_cell_angle_beta 102.90
_cell_angle_gamma 90.00
_symmetry_space_group_name_H-M 'P 1'
_symmetry_Int_Tables_number 1
_symmetry_space_group_name_Hall 'P 1'
loop_
_atom_site_label
_atom_site_fract_x
_atom_site_fract_y
_atom_site_fract_z
Se1 0.330 0.911 0.659
Se2 0.998 0.743 0.996
Se3 0.669 0.581 0.337
Se4 0.331 0.419 0.663
Se5 0.670 0.089 0.341
Se6 0.002 0.257 0.004
Sm1 0.500 0.000 0.000
Er1 0.165 0.330 0.330
Er2 0.835 0.670 0.670
Y1 0.163 0.834 0.326
Y2 0.837 0.166 0.674
Y3 0.500 0.500 0.000
```